# 1
Compound: Cu2Pd7Rh
Source: the Alexandria database
Functional: PBE
Structure: relaxed

Its calculated volume is 18.6 Å³ per atom. For the total magnetization, the calculation gives 2.14 μB/cell. As for the formation energy: 0.546 eV/atom.

```
data_Cu2Pd7Rh
_cell_length_a 7.3734
_cell_length_b 7.3734
_cell_length_c 4.0075
_cell_angle_alpha 90.00
_cell_angle_beta 90.00
_cell_angle_gamma 121.42
_symmetry_space_group_name_H-M 'P 1'
_symmetry_Int_Tables_number 1
loop_
_symmetry_equiv_pos_as_xyz
'x,y,z'
loop_
_atom_site_label
_atom_site_fract_x
_atom_site_fract_y
_atom_site_fract_z
Cu1 0.1924 0.8076 0.0000
Cu2 0.8076 0.1924 0.0000
Pd1 0.0000 0.0000 0.0000
Pd2 0.2051 0.4219 0.0000
Pd3 0.2964 0.7036 0.5000
Pd4 0.4219 0.2051 0.0000
Pd5 0.5781 0.7949 0.0000
Pd6 0.7036 0.2964 0.5000
Pd7 0.7949 0.5781 0.0000
Rh1 0.5000 0.5000 0.5000
```

# 2
Compound: CuAg6Au3
Source: the Alexandria database
Functional: PBE
Structure: relaxed

Its calculated volume is 19.0 Å³ per atom. For the total magnetization, the calculation gives 0.00 μB/cell. As for the formation energy: 0.097 eV/atom.

```
data_CuAg6Au3
_cell_length_a 8.7757
_cell_length_b 4.4228
_cell_length_c 10.6019
_cell_angle_alpha 90.00
_cell_angle_beta 112.65
_cell_angle_gamma 90.00
_symmetry_space_group_name_H-M 'P 1'
_symmetry_Int_Tables_number 1
loop_
_symmetry_equiv_pos_as_xyz
'x,y,z'
loop_
_atom_site_label
_atom_site_fract_x
_atom_site_fract_y
_atom_site_fract_z
Cu1 0.2283 0.2500 0.0435
Cu2 0.7717 0.7500 0.9565
Ag1 0.0712 0.7500 0.8250
Ag2 0.1065 0.7500 0.1149
Ag3 0.2345 0.2500 0.5482
Ag4 0.3975 0.7500 0.0274
Ag5 0.3999 0.7500 0.4708
Ag6 0.4363 0.7500 0.7572
Ag7 0.5637 0.2500 0.2428
Ag8 0.6001 0.2500 0.5292
Ag9 0.6025 0.2500 0.9726
Ag10 0.7655 0.7500 0.4518
Ag11 0.8935 0.2500 0.8851
Ag12 0.9288 0.2500 0.1750
Au1 0.0536 0.7500 0.3803
Au2 0.2685 0.2500 0.8166
Au3 0.2739 0.2500 0.2979
Au4 0.7261 0.7500 0.7021
Au5 0.7315 0.7500 0.1834
Au6 0.9464 0.2500 0.6197
```

# 3
Compound: PrZn2CuPd5
Source: the Alexandria database
Functional: PBE
Structure: relaxed

Its calculated volume is 17.9 Å³ per atom. For the total magnetization, the calculation gives 0.00 μB/cell. As for the formation energy: -0.274 eV/atom.

```
data_PrZn2CuPd5
_cell_length_a 4.6887
_cell_length_b 4.6887
_cell_length_c 7.3192
_cell_angle_alpha 90.00
_cell_angle_beta 90.00
_cell_angle_gamma 90.00
_symmetry_space_group_name_H-M 'P 1'
_symmetry_Int_Tables_number 1
loop_
_symmetry_equiv_pos_as_xyz
'x,y,z'
loop_
_atom_site_label
_atom_site_fract_x
_atom_site_fract_y
_atom_site_fract_z
Pr1 0.0000 0.0000 0.0000
Zn1 0.5000 0.5000 0.3431
Zn2 0.5000 0.5000 0.6569
Cu1 0.0000 0.0000 0.5000
Pd1 0.0000 0.5000 0.2709
Pd2 0.0000 0.5000 0.7291
Pd3 0.5000 0.0000 0.2709
Pd4 0.5000 0.0000 0.7291
Pd5 0.5000 0.5000 0.0000
```

Which of these has the lowest calculated volume?
PrZn2CuPd5

Which of these has the highest calculated volume?
CuAg6Au3

Among the records above, which one has the lowest calculated volume?
PrZn2CuPd5